First-principles (PBE-GGA) data for a geometry-optimized Cr21Mo2C6 structure, as listed in the Alexandria database.

Results
E_tot	-0.7154	Ry/atom

Structure (POSCAR):
```
Cr21Mo2C6
1.0
0.000 5.322 5.322
5.322 0.000 5.322
5.322 5.322 0.000
Cr Mo C
21 2 6
Cartesian
0.000 0.000 0.000
1.797 1.797 0.000
3.525 3.525 0.000
1.797 0.000 1.797
5.322 3.525 1.797
3.525 0.000 3.525
5.322 1.797 3.525
6.556 4.087 4.087
0.000 1.797 1.797
3.525 5.322 1.797
3.525 1.797 5.322
4.087 4.087 4.087
6.556 6.556 4.087
6.556 4.087 6.556
4.087 6.556 4.087
4.087 4.087 6.556
6.556 6.556 6.556
0.000 3.525 3.525
1.797 5.322 3.525
1.797 3.525 5.322
4.087 6.556 6.556
2.661 2.661 2.661
7.983 7.983 7.983
5.322 5.322 2.929
5.322 2.929 5.322
7.714 5.322 5.322
2.929 5.322 5.322
5.322 7.714 5.322
5.322 5.322 7.714
```



First-principles (PBE-GGA) data for a geometry-optimized Ba3Ac2CeP6 structure, as listed in the Alexandria database.

Results
E_tot	-0.4019	Ry/atom

Structure (POSCAR):
```
Ba3Ac2CeP6
1.0
3.858 -6.691 0.000
3.858 6.691 0.000
-2.578 0.000 7.412
Ba Ac Ce P
3 2 1 6
Cartesian
0.000 0.000 0.000
3.858 2.250 0.000
3.858 -2.250 0.000
2.569 4.466 3.706
2.569 -4.466 3.706
2.569 0.000 3.706
1.360 2.099 2.089
0.153 0.000 5.320
1.360 -2.099 2.089
3.777 2.099 5.323
4.984 0.000 2.092
3.777 -2.099 5.323
```



First-principles (PBE-GGA) data for a geometry-optimized Ba2Fe2I structure, as listed in the Alexandria database.

Results
formation energy (no corrections)	0.160	eV per atom

Structure (POSCAR):
```
Ba2Fe2I
1.0
9.373 0.000 0.000
0.000 9.373 0.000
0.000 0.000 4.318
Ba Fe I
4 4 2
Cartesian
1.692 2.994 0.000
2.994 7.681 0.000
6.379 1.692 0.000
7.681 6.379 0.000
0.744 5.431 2.159
3.942 0.744 2.159
5.431 8.629 2.159
8.629 3.942 2.159
0.000 0.000 0.000
4.687 4.687 0.000
```



First-principles (PBE-GGA) data for a geometry-optimized Tb3In2Sn structure, as listed in the Alexandria database.

Results
distance to the lowest polymorph of the same formula	0.000	eV per atom

Structure (POSCAR):
```
Tb3In2Sn
1.0
4.994 0.000 0.000
0.000 14.996 0.000
0.000 0.000 4.298
Tb In Sn
6 4 2
Cartesian
1.248 1.281 4.297
1.248 6.217 4.297
1.248 11.247 0.004
3.745 3.749 4.294
3.745 8.779 0.001
3.745 13.715 0.001
1.248 8.685 2.150
1.248 13.809 2.150
3.745 1.187 2.148
3.745 6.311 2.148
1.248 3.749 2.146
3.745 11.247 2.151
```



First-principles (PBE-GGA) data for a geometry-optimized Cs2BaYI6 structure, as listed in the Alexandria database.

Results
formation energy (no corrections)	-1.446	eV per atom

Structure (POSCAR):
```
Cs2BaYI6
1.0
8.829 0.000 0.000
0.000 12.894 0.000
0.000 0.000 9.463
Cs Ba Y I
4 2 2 12
Cartesian
2.207 0.456 1.926
2.207 5.991 1.926
6.622 6.902 7.537
6.622 12.438 7.537
2.207 3.223 6.822
6.622 9.670 2.641
2.207 9.670 7.340
6.622 3.223 2.123
0.008 9.670 5.214
0.091 9.670 0.106
2.207 6.598 7.325
2.207 12.743 7.325
4.324 9.670 0.106
4.407 9.670 5.214
4.422 3.223 4.249
4.506 3.223 9.357
6.622 0.151 2.138
6.622 6.296 2.138
8.738 3.223 9.357
8.822 3.223 4.249
```



First-principles (PBE-GGA) data for a geometry-optimized Sc5AlIn4 structure, as listed in the Alexandria database.

Results
E_tot	-0.3715	Ry/atom

Structure (POSCAR):
```
Sc5AlIn4
1.0
3.418 0.000 0.000
0.000 3.418 0.000
0.000 0.000 18.735
Sc Al In
5 1 4
Cartesian
0.000 0.000 0.000
0.000 0.000 3.873
0.000 0.000 7.691
0.000 0.000 11.044
0.000 0.000 14.863
1.709 1.709 9.368
1.709 1.709 1.937
1.709 1.709 5.779
1.709 1.709 12.956
1.709 1.709 16.798
```